[1]
A plane-wave DFT calculation with PBE was carried out for a geometry-optimized PmSn structure.

Properties
Density ... 7.39 g/cm³
Uncorrected energy ... -10.322 eV/f.u.
Space-group type ... No. 11
Formation energy ... -0.784 eV/atom

Cell lengths 4.631, 4.378, 6.284 Å; angles 90.00, 111.60, 90.00 degrees
Fractional coordinates of all 4 atoms:
Pm 0.635 0.750 0.271
Sn 0.090 0.250 0.180
Sn 0.910 0.750 0.820
Pm 0.365 0.250 0.729

***

[2]
A plane-wave DFT calculation with PBE was carried out for a geometry-optimized PmSn structure.

Properties
Density ... 7.81 g/cm³
Uncorrected energy ... -10.118 eV/f.u.
Space-group type ... No. 65
Formation energy ... -0.682 eV/atom

Cell lengths 3.475, 5.752, 5.752 Å; angles 102.69, 90.00, 90.00 degrees
Fractional coordinates of all 4 atoms:
Sn 0.000 0.718 0.718
Pm 0.500 0.773 0.227
Pm 0.500 0.227 0.773
Sn 0.000 0.282 0.282

***

[3]
A plane-wave DFT calculation with PBE was carried out for a geometry-optimized PmSn structure.

Properties
Density ... 6.79 g/cm³
Uncorrected energy ... -9.862 eV/f.u.
Space-group type ... No. 225
Formation energy ... -0.554 eV/atom

Cell lengths 4.501, 4.501, 4.501 Å; angles 60.00, 60.00, 60.00 degrees
Fractional coordinates of all 2 atoms:
Pm 0.500 0.500 0.500
Sn 0.000 0.000 0.000

***

[4]
A plane-wave DFT calculation with PBE was carried out for a geometry-optimized Pm2Sn structure.

Properties
Density ... 7.77 g/cm³
Polymorph energy (0 for the lowest one) ... 0.116 eV per atom
Uncorrected energy ... -14.967 eV/f.u.
Space-group type ... No. 139
Formation energy ... -0.488 eV/atom

Cell lengths 4.184, 4.184, 5.802 Å; angles 111.16, 111.16, 89.96 degrees
Fractional coordinates of all 3 atoms:
Sn 0.500 0.500 0.000
Pm 0.156 0.156 0.312
Pm 0.844 0.844 0.688